(1)
A geometry-optimized RbZrRh2 structure, computed with PBE.

a = 6.862 Å, b = 6.862 Å, c = 6.862 Å
α = 90.00°, β = 90.00°, γ = 90.00°
Space group Fm-3m (No. 225)
One atom of each set of equivalent atoms:
Rb 0.000 0.000 0.000 (multiplicity 4)
Zr 0.000 0.000 0.500 (multiplicity 4)
Rh 0.250 0.250 0.250 (multiplicity 8)

Properties
* V: 20.20 Å³ per atom
* raw total energy: -5.597 eV/atom
* energy above the lowest structure with this stoichiometry: 0.0 kJ/mol of atoms
* ΔH_f (0 K): 0.46 eV/atom

=====

(2)
A geometry-optimized MgSc structure, computed with PBE.

a = 3.243 Å, b = 3.267 Å, c = 5.519 Å
α = 73.42°, β = 73.08°, γ = 60.55°
Space group P-1 (No. 2)
One atom of each set of equivalent atoms:
Mg 0.000 0.000 0.000 (multiplicity 1)
Sc 0.500 0.500 0.500 (multiplicity 1)

Properties
* V: 24.00 Å³ per atom
* raw total energy: -3.948 eV/atom
* ΔH_f (0 K): 0.02 eV/atom

=====

Which value of V does entry 1 give?
20.20 Å³ per atom

=====

Which of these has the highest ΔH_f (0 K)?
RbZrRh2

=====

Look up the ΔH_f (0 K) of the first one.
0.46 eV/atom

=====

What is the raw total energy in the second record?
-3.948 eV/atom